No. 1
VASP calculation (SCAN) on a crystal of ZnIrSe relaxed with PBEsol.

Calculated values
- formation energy (no corrections) (eV/atom) = 0.553
- energy relative to the lowest polymorph listed for this composition (meV per atom) = 0.0

a b c (Å): 4.1835 4.1835 4.1835
angles (deg): 60.00 60.00 60.00
Fractional coordinates of all 3 atoms:
Ir  0.5000  0.5000  0.5000
Se  0.2500  0.2500  0.2500
Zn  0.0000  0.0000  0.0000

=====

No. 2
VASP calculation (SCAN) on a crystal of Ca3ReGe relaxed with PBEsol.

Calculated values
- DFT formation energy (meV per atom) = 882.0
- energy relative to the lowest polymorph listed for this composition (meV per atom) = 58.5

a b c (Å): 5.4803 5.4803 5.4803
angles (deg): 90.00 90.00 90.00
Site moments in Bohr magnetons follow the coordinates.
Fractional coordinates of all 5 atoms:
Ca  0.5000  0.0000  0.0000  -0.02
Ca  0.0000  0.0000  0.5000  -0.02
Ca  0.0000  0.5000  0.0000  -0.02
Re  0.5000  0.5000  0.5000  2.80
Ge  0.0000  0.0000  0.0000  0.02

=====

No. 3
VASP calculation (SCAN) on a crystal of PdSeIBr2 relaxed with PBEsol.

Calculated values
- formation energy (no corrections) (eV/atom) = 0.187

a b c (Å): 4.9558 4.9558 5.0828
angles (deg): 90.00 90.00 90.00
Fractional coordinates of all 5 atoms:
I  0.5000  0.5000  0.5000
Pd  0.0000  0.0000  0.0000
Br  0.0000  0.5000  0.0000
Br  0.5000  0.0000  0.0000
Se  0.0000  0.0000  0.5000

=====

No. 4
VASP calculation (SCAN) on a crystal of Li2MoRh relaxed with PBEsol.

Calculated values
- DFT formation energy (meV per atom) = 155.1
- energy relative to the lowest polymorph listed for this composition (meV per atom) = 118.6

a b c (Å): 2.6573 4.4987 5.3894
angles (deg): 114.06 103.30 92.26
Fractional coordinates of all 4 atoms:
Li  0.0000  0.0000  0.5000
Li  0.5000  0.5000  0.5000
Mo  0.5000  0.0000  0.0000
Rh  0.0000  0.5000  0.0000

=====

No. 5
VASP calculation (SCAN) on a crystal of CeCdPt relaxed with PBEsol.

Calculated values
- DFT formation energy (meV per atom) = -921.8

a b c (Å): 3.9549 7.5251 7.5251
angles (deg): 120.00 90.00 90.00
Site moments in Bohr magnetons follow the coordinates.
Fractional coordinates of all 9 atoms:
Ce  0.0000  0.0000  0.5926  0.73
Ce  0.0000  0.5926  0.0000  0.73
Ce  0.0000  0.4074  0.4074  0.73
Pt  0.5000  0.6667  0.3333  -0.02
Pt  0.0000  0.0000  0.0000  -0.01
Pt  0.5000  0.3333  0.6667  -0.02
Cd  0.5000  0.7471  0.7471  0.02
Cd  0.5000  0.0000  0.2529  0.02
Cd  0.5000  0.2529  0.0000  0.02

=====

No. 6
VASP calculation (SCAN) on a crystal of BaTl2Tc relaxed with PBEsol.

Calculated values
- DFT formation energy (meV per atom) = 466.4
- energy relative to the lowest polymorph listed for this composition (meV per atom) = 48.3

a b c (Å): 5.2774 5.2774 5.2774
angles (deg): 60.00 60.00 60.00
Site moments in Bohr magnetons follow the coordinates.
Fractional coordinates of all 4 atoms:
Tc  0.5000  0.5000  0.5000  2.90
Tl  0.2500  0.2500  0.2500  -0.06
Tl  0.7500  0.7500  0.7500  -0.06
Ba  0.0000  0.0000  0.0000  -0.03

=====

Number 1: V 17.26 Å³/atom, total DFT energy (no corrections) -103.03 eV for the cell shown, ρ 10.80 Mg/m³. Number 2: V 32.92 Å³/atom, total DFT energy (no corrections) -114.77 eV for the cell shown, ρ 3.82 Mg/m³. Number 3: V 24.97 Å³/atom, total DFT energy (no corrections) -127.58 eV for the cell shown, ρ 6.28 Mg/m³. Number 4: V 14.15 Å³/atom, total DFT energy (no corrections) -72.82 eV for the cell shown, ρ 6.24 Mg/m³. Number 5: V 21.55 Å³/atom, total DFT energy (no corrections) -443.81 eV for the cell shown, ρ 11.50 Mg/m³. Number 6: V 25.98 Å³/atom, total DFT energy (no corrections) -217.46 eV for the cell shown, ρ 10.29 Mg/m³.